The following is a PBE calculation of a relaxed structure of KFe2Ag, from Alexandria.

Values from the calculation:
energy	-4.306	eV/atom
offset from the most stable computed form	0.368	eV/atom
calculated volume	157	Å³ per cell
ΔH_f (0 K)	0.9123	eV per atom
N(E_F)	11.38	states/eV/cell
total magnetization	5.676	μB per formula unit

abc: 2.701 5.240 11.078
angles: 90.00 90.00 90.00
Space group Immm (No. 71)
Symmetry-distinct sites (fractional):
K (0.000, 0.000, 0.000)
Fe (0.000, 0.500, 0.219)
Ag (0.000, 0.000, 0.500)